Arrangement 1

VASP calculation (GGA-PBE) on a relaxed CaW2Au crystal.

Unit cell a=5.550 b=5.550 c=5.550 alpha=144.53 beta=126.27 gamma=66.04
Element x y z (fractional)
Ca  0.000  0.000  0.000
W  0.280  0.780  0.500
W  0.474  0.474  0.000
Au  0.730  0.230  0.500

Summary:
* V: 78.93 Å³ per cell

=====

Arrangement 2

VASP calculation (GGA-PBE) on a relaxed CaW2Au crystal.

Unit cell a=2.785 b=2.785 c=9.510 alpha=90.00 beta=90.00 gamma=90.00
Element x y z (fractional)
Ca  0.000  0.000  0.000
W  0.000  0.000  0.511
W  0.500  0.500  0.276
Au  0.500  0.500  0.738

Summary:
* V: 73.78 Å³ per cell

=====

Tell me which of them is the most stable. Sure, it is arrangement 2.

=====

Arrangement 1

VASP calculation (GGA-PBE) on a relaxed CaW2Au crystal.

Unit cell a=4.680 b=4.680 c=4.680 alpha=60.00 beta=60.00 gamma=60.00
Element x y z (fractional)
Ca  0.000  0.000  0.000
W  0.250  0.250  0.250
W  0.750  0.750  0.750
Au  0.500  0.500  0.500

Summary:
* V: 72.50 Å³ per cell

=====

Arrangement 2

VASP calculation (GGA-PBE) on a relaxed CaW2Au crystal.

Unit cell a=2.723 b=5.041 c=5.469 alpha=90.00 beta=90.00 gamma=90.00
Element x y z (fractional)
Ca  0.000  0.000  0.000
W  0.500  0.500  0.244
W  0.500  0.500  0.756
Au  0.000  0.000  0.500

Summary:
* V: 75.09 Å³ per cell

=====

Arrangement 3

VASP calculation (GGA-PBE) on a relaxed CaW2Au crystal.

Unit cell a=5.624 b=5.624 c=5.624 alpha=139.21 beta=139.21 gamma=59.05
Element x y z (fractional)
Ca  0.000  0.000  0.000
W  0.250  0.750  0.500
W  0.750  0.250  0.500
Au  0.500  0.500  0.000

Summary:
* V: 75.20 Å³ per cell

=====

Tell me which of them is the most stable. Sure, it is arrangement 3.

=====

Arrangement 1

VASP calculation (GGA-PBE) on a relaxed CaW2Au crystal.

Unit cell a=2.758 b=2.758 c=9.860 alpha=90.00 beta=90.00 gamma=99.97
Element x y z (fractional)
Ca  0.000  0.000  0.000
W  0.500  0.500  0.270
W  0.500  0.500  0.730
Au  0.000  0.000  0.500

Summary:
* V: 73.85 Å³ per cell

=====

Arrangement 2

VASP calculation (GGA-PBE) on a relaxed CaW2Au crystal.

Unit cell a=3.331 b=3.260 c=7.441 alpha=90.00 beta=91.26 gamma=90.00
Element x y z (fractional)
Ca  0.000  0.000  0.000
W  0.040  0.000  0.523
W  0.497  0.500  0.688
Au  0.507  0.500  0.275

Summary:
* V: 80.79 Å³ per cell

=====

Arrangement 3

VASP calculation (GGA-PBE) on a relaxed CaW2Au crystal.

Unit cell a=2.762 b=2.762 c=9.717 alpha=90.00 beta=90.00 gamma=90.00
Element x y z (fractional)
Ca  0.000  0.000  0.000
W  0.500  0.500  0.271
W  0.500  0.500  0.729
Au  0.000  0.000  0.500

Summary:
* V: 74.15 Å³ per cell

=====

Tell me which of them is the most stable. Sure, it is arrangement 2.

=====

Arrangement 1

VASP calculation (GGA-PBE) on a relaxed CaWAu crystal.

Unit cell a=2.995 b=2.995 c=7.576 alpha=90.00 beta=90.00 gamma=120.00
Element x y z (fractional)
Ca  0.000  0.000  0.000
W  0.667  0.333  0.347
Au  0.333  0.667  0.656

Summary:
* V: 58.87 Å³ per cell

=====

Arrangement 2

VASP calculation (GGA-PBE) on a relaxed CaWAu crystal.

Unit cell a=7.307 b=7.307 c=7.307 alpha=157.18 beta=157.18 gamma=32.49
Element x y z (fractional)
Ca  0.000  0.000  0.000
W  0.322  0.322  0.000
Au  0.675  0.675  0.000

Summary:
* V: 58.64 Å³ per cell

=====

Tell me which of them is the most stable. Sure, it is arrangement 2.